<i>
## CaFeSe2 (GGA-PBEsol)

Data for a relaxed structure of CaFeSe2.

a = 3.904 Å, b = 3.904 Å, c = 5.656 Å
α = 90.00°, β = 90.00°, γ = 90.00°
Each line ends with the local moment (μB).
Atoms (fractional coordinates):
Se  0.500  0.500  0.394  0.10
Se  0.000  0.000  0.883  0.17
Fe  0.500  0.500  0.841  3.41
Ca  0.000  0.000  0.383  0.01

Summary:
- Space group: P4mm
- V: 86.2 Å³/cell

<ii>
## CaFeSe2 (GGA-PBEsol)

Data for a relaxed structure of CaFeSe2.

a = 3.781 Å, b = 4.162 Å, c = 6.202 Å
α = 90.00°, β = 107.75°, γ = 90.00°
Each line ends with the local moment (μB).
Atoms (fractional coordinates):
Ca  0.974  0.000  0.949  0.04
Fe  0.193  0.500  0.385  3.21
Se  0.288  0.000  0.576  0.17
Se  0.559  0.500  0.118  0.13

Summary:
- Space group: Amm2
- V: 93.0 Å³/cell

Which structure is the most stable? The one labeled <ii>.

<i>
## CaFeW (GGA-PBEsol)

Data for a relaxed structure of CaFeW.

a = 3.070 Å, b = 3.070 Å, c = 6.165 Å
α = 104.42°, β = 104.42°, γ = 90.00°
Each line ends with the local moment (μB).
Atoms (fractional coordinates):
W  0.709  0.709  0.418  -0.02
Ca  0.994  0.994  0.989  0.01
Fe  0.297  0.297  0.594  0.60

Summary:
- Space group: I4mm
- V: 54.4 Å³/cell

<ii>
## CaFeW (GGA-PBEsol)

Data for a relaxed structure of CaFeW.

a = 3.159 Å, b = 3.159 Å, c = 6.580 Å
α = 90.00°, β = 90.00°, γ = 120.00°
Atoms (fractional coordinates):
Fe  0.333  0.667  0.615
Ca  0.000  0.000  0.980
W  0.667  0.333  0.405

Summary:
- Space group: P3m1
- V: 56.9 Å³/cell

Which structure is the most stable? The one labeled <i>.

<i>
## Ca2YFe (GGA-PBEsol)

Data for a relaxed structure of Ca2YFe.

a = 3.502 Å, b = 6.398 Å, c = 5.768 Å
α = 116.78°, β = 90.00°, γ = 105.88°
Each line ends with the local moment (μB).
Atoms (fractional coordinates):
Ca  0.808  0.615  0.307  -0.06
Ca  0.996  0.992  0.996  -0.04
Y  0.184  0.369  0.684  -0.35
Fe  0.512  0.024  0.513  1.75

Summary:
- Space group: Cm
- V: 109.8 Å³/cell

<ii>
## Ca2YFe (GGA-PBEsol)

Data for a relaxed structure of Ca2YFe.

a = 5.269 Å, b = 5.269 Å, c = 5.269 Å
α = 60.00°, β = 60.00°, γ = 60.00°
Each line ends with the local moment (μB).
Atoms (fractional coordinates):
Ca  0.750  0.750  0.750  -0.04
Ca  0.000  0.000  0.000  -0.06
Fe  0.500  0.500  0.500  2.59
Y  0.250  0.250  0.250  -0.26

Summary:
- Space group: F-43m
- V: 103.4 Å³/cell

<iii>
## Ca2YFe (GGA-PBEsol)

Data for a relaxed structure of Ca2YFe.

a = 3.495 Å, b = 3.495 Å, c = 10.788 Å
α = 80.68°, β = 80.68°, γ = 60.00°
Each line ends with the local moment (μB).
Atoms (fractional coordinates):
Ca  0.234  0.234  0.298  -0.05
Ca  0.766  0.766  0.702  -0.05
Y  0.000  0.000  0.000  0.26
Fe  0.500  0.500  0.500  2.71

Summary:
- Space group: R-3m
- V: 112.1 Å³/cell

Which structure is the most stable? The one labeled <i>.

<i>
## CaY2Fe (GGA-PBEsol)

Data for a relaxed structure of CaY2Fe.

a = 3.492 Å, b = 3.492 Å, c = 8.583 Å
α = 90.00°, β = 90.00°, γ = 90.00°
Each line ends with the local moment (μB).
Atoms (fractional coordinates):
Fe  0.500  0.500  0.778  2.13
Ca  0.000  0.000  0.559  -0.07
Y  0.000  0.000  0.936  -0.21
Y  0.500  0.500  0.226  0.33

Summary:
- Space group: P4mm
- V: 104.6 Å³/cell

<ii>
## CaY2Fe (GGA-PBEsol)

Data for a relaxed structure of CaY2Fe.

a = 3.319 Å, b = 6.217 Å, c = 6.217 Å
α = 117.78°, β = 102.40°, γ = 102.40°
Each line ends with the local moment (μB).
Atoms (fractional coordinates):
Fe  0.500  0.000  0.000  2.74
Y  0.000  0.500  0.000  -0.22
Y  0.000  0.000  0.500  -0.22
Ca  0.500  0.500  0.500  -0.06

Summary:
- Space group: C2/m
- V: 103.2 Å³/cell

Which structure is the most stable? The one labeled <i>.

<i>
## CaGa2S4 (GGA-PBEsol)

Data for a relaxed structure of CaGa2S4.

a = 5.811 Å, b = 5.811 Å, c = 10.030 Å
α = 90.00°, β = 90.00°, γ = 118.22°
Atoms (fractional coordinates):
S  0.500  0.000  0.673
S  0.352  0.197  0.000
S  0.500  0.000  0.327
S  0.000  0.500  0.827
S  0.197  0.352  0.500
S  0.000  0.500  0.173
S  0.648  0.803  0.000
S  0.803  0.648  0.500
Ga  0.765  0.231  0.500
Ga  0.235  0.769  0.500
Ga  0.231  0.765  0.000
Ga  0.769  0.235  0.000
Ca  0.500  0.500  0.250
Ca  0.500  0.500  0.750

Summary:
- Space group: Cccm
- V: 298.5 Å³/cell

<ii>
## CaGa2S4 (GGA-PBEsol)

Data for a relaxed structure of CaGa2S4.

a = 11.625 Å, b = 11.625 Å, c = 11.644 Å
α = 105.50°, β = 105.50°, γ = 117.70°
Atoms (fractional coordinates):
S  0.540  0.290  0.077
S  0.710  0.460  0.423
S  0.037  0.287  0.577
S  0.039  0.290  0.076
S  0.464  0.028  0.747
S  0.537  0.787  0.077
S  0.944  0.526  0.753
S  0.809  0.226  0.753
S  0.211  0.460  0.424
S  0.306  0.224  0.747
S  0.970  0.034  0.247
S  0.213  0.964  0.424
S  0.710  0.961  0.924
S  0.036  0.787  0.576
S  0.710  0.460  0.923
S  0.214  0.963  0.924
S  0.786  0.722  0.753
S  0.278  0.214  0.247
S  0.540  0.290  0.577
S  0.966  0.030  0.753
S  0.037  0.786  0.076
S  0.280  0.716  0.253
S  0.474  0.056  0.247
S  0.441  0.524  0.747
S  0.540  0.789  0.576
S  0.972  0.536  0.253
S  0.713  0.963  0.423
S  0.476  0.559  0.253
S  0.774  0.191  0.247
S  0.284  0.720  0.747
S  0.776  0.694  0.253
S  0.213  0.463  0.923
Ga  0.594  0.734  0.750
Ga  0.656  0.016  0.750
Ga  0.760  0.988  0.249
Ga  0.094  0.735  0.750
Ga  0.739  0.512  0.751
Ga  0.156  0.015  0.750
Ga  0.238  0.510  0.749
Ga  0.265  0.906  0.250
Ga  0.266  0.406  0.250
Ga  0.488  0.261  0.249
Ga  0.985  0.844  0.250
Ga  0.762  0.489  0.251
Ga  0.511  0.238  0.749
Ga  0.984  0.344  0.250
Ga  0.012  0.240  0.751
Ga  0.490  0.762  0.251
Ca  0.250  0.750  0.500
Ca  0.752  0.752  0.504
Ca  0.500  0.500  0.000
Ca  0.002  0.502  0.004
Ca  0.498  0.998  0.996
Ca  0.000  0.000  0.000
Ca  0.248  0.248  0.496
Ca  0.750  0.250  0.500

Summary:
- Space group: Fddd
- V: 1193.0 Å³/cell

Which structure is the most stable? The one labeled <ii>.

<i>
## Sr2CaGa2 (GGA-PBEsol)

Data for a relaxed structure of Sr2CaGa2.

a = 3.838 Å, b = 3.838 Å, c = 12.058 Å
α = 99.16°, β = 99.16°, γ = 90.00°
Atoms (fractional coordinates):
Sr  0.633  0.633  0.267
Sr  0.367  0.367  0.733
Ca  0.000  0.000  0.000
Ga  0.250  0.750  0.500
Ga  0.750  0.250  0.500

Summary:
- Space group: I4/mmm
- V: 173.1 Å³/cell

<ii>
## Sr2CaGa2 (GGA-PBEsol)

Data for a relaxed structure of Sr2CaGa2.

a = 4.239 Å, b = 8.566 Å, c = 8.566 Å
α = 90.00°, β = 90.00°, γ = 90.00°
Atoms (fractional coordinates):
Ga  0.000  0.115  0.385
Ga  0.000  0.385  0.885
Ga  0.000  0.885  0.615
Ga  0.000  0.615  0.115
Sr  0.500  0.824  0.324
Sr  0.500  0.676  0.824
Sr  0.500  0.324  0.176
Sr  0.500  0.176  0.676
Ca  0.000  0.000  0.000
Ca  0.000  0.500  0.500

Summary:
- Space group: P4/mbm
- V: 311.0 Å³/cell

Which structure is the most stable? The one labeled <ii>.